A plane-wave DFT calculation with PBE was carried out for a geometry-optimized Pr2Sn3Pt4Pb structure.

Calculated total energy = -57.10 eV for the cell shown
Density = 11.55 g/cm³
Formation enthalpy at 0 K = -0.766 eV/atom

Structure (POSCAR):
```
Pr2Sn3Pt4Pb
1.0
-1.743 1.872 3.879
-3.915 1.056 -2.269
-4.183 -9.597 2.753
Pb Sn Pt Pr
1 3 4 2
Direct
0.500 0.500 0.500
0.000 0.000 0.500
0.000 0.500 0.125
0.500 0.000 0.875
0.500 0.500 0.000
0.500 0.000 0.637
0.000 0.000 0.000
0.000 0.500 0.363
0.500 0.000 0.233
0.000 0.500 0.767
```